# 1
A plane-wave DFT calculation with GGA-PBE was carried out for an optimized crystal structure of BaMg4Au4.

a b c (Å): 6.9492 6.9492 8.8765
angles (deg): 90.00 90.00 90.00
Positions (direct):
1 Ba 0.2500 0.7500 0.2500
2 Ba 0.7500 0.2500 0.7500
3 Mg 0.0020 0.7500 0.6260
4 Mg 0.2500 0.5020 0.8740
5 Mg 0.2500 0.9980 0.8740
6 Mg 0.4980 0.7500 0.6260
7 Mg 0.5020 0.2500 0.3740
8 Mg 0.7500 0.0020 0.1260
9 Mg 0.7500 0.4980 0.1260
10 Mg 0.9980 0.2500 0.3740
11 Au 0.0493 0.2500 0.0678
12 Au 0.2500 0.0493 0.5678
13 Au 0.2500 0.4507 0.5678
14 Au 0.4507 0.2500 0.0678
15 Au 0.5493 0.7500 0.9322
16 Au 0.7500 0.5493 0.4322
17 Au 0.7500 0.9507 0.4322
18 Au 0.9507 0.7500 0.9322

Calculated values
- crystal system = tetragonal
- energy (eV per atom) = -2.95
- SG = P4_2/nmc (137)

***

# 2
A plane-wave DFT calculation with GGA-PBE was carried out for an optimized crystal structure of CsTl2BiF8.

a b c (Å): 4.2527 8.4170 6.1518
angles (deg): 90.00 90.37 90.00
Positions (direct):
1 Cs 0.0000 0.0000 0.0000
2 Tl 0.5000 0.2454 0.5000
3 Tl 0.5000 0.7546 0.5000
4 Bi 0.0000 0.5000 0.0000
5 F 0.0011 0.2956 0.2603
6 F 0.0011 0.7044 0.2603
7 F 0.4963 0.0000 0.6966
8 F 0.4993 0.5000 0.7881
9 F 0.5007 0.5000 0.2119
10 F 0.5037 0.0000 0.3034
11 F 0.9989 0.2956 0.7397
12 F 0.9989 0.7044 0.7397

Calculated values
- crystal system = monoclinic
- formation energy (no corrections) (eV per atom) = -2.0959
- energy (eV per atom) = -4.13
- SG = P2/m (10)

***

# 3
A plane-wave DFT calculation with GGA-PBE was carried out for an optimized crystal structure of MgMoN3.

a b c (Å): 3.9302 3.9302 3.9302
angles (deg): 90.00 90.00 90.00
Positions (direct):
1 Mg 0.0000 0.0000 0.0000
2 Mo 0.5000 0.5000 0.5000
3 N 0.0000 0.5000 0.5000
4 N 0.5000 0.0000 0.5000
5 N 0.5000 0.5000 0.0000

Calculated values
- crystal system = cubic
- formation energy (no corrections) (eV per atom) = 0.2422
- energy (eV per atom) = -7.24
- SG = Pm-3m (221)

***

# 4
A plane-wave DFT calculation with GGA-PBE was carried out for an optimized crystal structure of LaCd2Br.

a b c (Å): 5.5924 5.5924 5.9930
angles (deg): 101.07 101.07 38.92
Positions (direct):
1 La 0.0000 0.0000 0.0000
2 Cd 0.2445 0.2445 0.6341
3 Cd 0.5036 0.5036 0.4998
4 Br 0.7349 0.7349 0.1377

Calculated values
- crystal system = monoclinic
- formation energy (no corrections) (eV per atom) = -0.5643
- energy (eV per atom) = -2.67
- SG = Cm (8)

***

# 5
A plane-wave DFT calculation with GGA-PBE was carried out for an optimized crystal structure of Pm2Sn2Pt.

a b c (Å): 6.0585 6.0585 11.2474
angles (deg): 114.78 114.78 44.63
Positions (direct):
1 Pm 0.9997 0.9997 0.1716
2 Pm 0.0003 0.0003 0.8284
3 Pm 0.1856 0.1856 0.6223
4 Pm 0.8144 0.8144 0.3777
5 Sn 0.3462 0.3462 0.9502
6 Sn 0.4683 0.4683 0.6148
7 Sn 0.5317 0.5317 0.3852
8 Sn 0.6538 0.6538 0.0498
9 Pt 0.2800 0.2800 0.1717
10 Pt 0.7200 0.7200 0.8283

Calculated values
- crystal system = monoclinic
- energy (eV per atom) = -5.64
- SG = C2/m (12)

***

# 6
A plane-wave DFT calculation with GGA-PBE was carried out for an optimized crystal structure of Pr2PuNi9.

a b c (Å): 8.7846 8.7846 8.7846
angles (deg): 33.20 33.20 33.20
Positions (direct):
1 Pr 0.1377 0.1377 0.1377
2 Pr 0.8623 0.8623 0.8623
3 Pu 0.0000 0.0000 0.0000
4 Ni 0.0809 0.5789 0.5789
5 Ni 0.3326 0.3326 0.3326
6 Ni 0.4211 0.4211 0.9191
7 Ni 0.4211 0.9191 0.4211
8 Ni 0.5000 0.5000 0.5000
9 Ni 0.5789 0.0809 0.5789
10 Ni 0.5789 0.5789 0.0809
11 Ni 0.6674 0.6674 0.6674
12 Ni 0.9191 0.4211 0.4211

Calculated values
- crystal system = trigonal
- energy (eV per atom) = -6.57
- SG = R-3m (166)

***

Question: Which of these has the highest energy?
Answer: LaCd2Br

***

Question: Look up the energy of the fifth one.
Answer: -5.64 eV per atom

***

Question: What is the formula in the sixth record?
Answer: Pr2PuNi9